No. 1
## Zr3P (PBE)

Data for an optimized crystal structure of Zr3P.

Its volume is 156 Å³/cell. The formation energy comes out at -0.387 eV per atom. Its density of states at the Fermi level is 0.741 states/eV per atom. The electronic total energy is -8.151 eV per atom.

Cell and atoms, written as CIF:
```
data_Zr3P
_chemical_formula_sum 'Zr6 P2'
_symmetry_space_group_name_H-M 'P m m n'
_symmetry_Int_Tables_number 59
_cell_length_a 4.6605
_cell_length_b 5.6597
_cell_length_c 5.9089
_cell_angle_alpha 90.00
_cell_angle_beta 90.00
_cell_angle_gamma 90.00
loop_
_symmetry_equiv_pos_as_xyz
'x,y,z'
'-x,-y,-z'
'-x+1/2,-y+1/2,z'
'x+1/2,y+1/2,-z'
'x+1/2,-y,-z'
'-x+1/2,y,z'
'-x,y+1/2,-z'
'x,-y+1/2,z'
loop_
_atom_site_label
_atom_site_type_symbol
_atom_site_fract_x
_atom_site_fract_y
_atom_site_fract_z
_atom_site_occupancy
Zr1 Zr 0.2500 0.0019 0.1411 1
Zr2 Zr 0.2500 0.7500 0.5974 1
P1 P 0.2500 0.2500 0.6935 1
```

=====

No. 2
## K2CaHPb (PBE)

Data for an optimized crystal structure of K2CaHPb.

Its volume is 149 Å³/cell. Its density of states at the Fermi level is 0.565 states/eV per atom. The electronic total energy is -2.408 eV per atom.

Cell and atoms, written as CIF:
```
data_K2CaHPb
_chemical_formula_sum 'K2 Ca1 H1 Pb1'
_symmetry_space_group_name_H-M 'P 4/m m m'
_symmetry_Int_Tables_number 123
_symmetry_space_group_name_Hall '-P 4 2'
_cell_length_a 5.1792
_cell_length_b 5.1792
_cell_length_c 5.5662
_cell_angle_alpha 90.00
_cell_angle_beta 90.00
_cell_angle_gamma 90.00
loop_
_atom_site_label
_atom_site_type_symbol
_atom_site_fract_x
_atom_site_fract_y
_atom_site_fract_z
_atom_site_occupancy
K1 K 0.0000 0.5000 0.0000 1
Ca1 Ca 0.0000 0.0000 0.5000 1
H1 H 0.0000 0.0000 0.0000 1
Pb1 Pb 0.5000 0.5000 0.5000 1
```

=====

No. 3
## RbPuCd4 (PBE)

Data for an optimized crystal structure of RbPuCd4.

Its volume is 685 Å³/cell. The formation energy comes out at 0.110 eV per atom. Its density of states at the Fermi level is 2.724 states/eV per atom. The electronic total energy is -3.050 eV per atom.

Cell and atoms, written as CIF:
```
data_RbPuCd4
_chemical_formula_sum 'Rb4 Pu4 Cd16'
_symmetry_space_group_name_H-M 'F -4 3 m'
_symmetry_Int_Tables_number 216
_symmetry_space_group_name_Hall 'F -4 2 3'
_cell_length_a 8.8153
_cell_length_b 8.8153
_cell_length_c 8.8153
_cell_angle_alpha 90.00
_cell_angle_beta 90.00
_cell_angle_gamma 90.00
loop_
_atom_site_label
_atom_site_type_symbol
_atom_site_fract_x
_atom_site_fract_y
_atom_site_fract_z
_atom_site_occupancy
Rb1 Rb 0.0000 0.0000 0.0000 1
Pu1 Pu 0.2500 0.2500 0.7500 1
Cd1 Cd 0.1245 0.1245 0.3755 1
```

=====

No. 4
## CsTe2P2 (PBE)

Data for an optimized crystal structure of CsTe2P2.

Its volume is 314 Å³/cell. The formation energy from raw total energies is 2.8 kJ per mole of atoms. Its density of states at the Fermi level is 0.445 states/eV per atom. The electronic total energy is -3.562 eV per atom.

Cell and atoms, written as CIF:
```
data_CsTe2P2
_chemical_formula_sum 'Cs2 Te4 P4'
_symmetry_space_group_name_H-M 'I 4/m m m'
_symmetry_Int_Tables_number 139
_symmetry_space_group_name_Hall '-I 4 2'
_cell_length_a 4.8436
_cell_length_b 4.8436
_cell_length_c 13.3929
_cell_angle_alpha 90.00
_cell_angle_beta 90.00
_cell_angle_gamma 90.00
loop_
_atom_site_label
_atom_site_type_symbol
_atom_site_fract_x
_atom_site_fract_y
_atom_site_fract_z
_atom_site_occupancy
Cs1 Cs 0.0000 0.0000 0.0000 1
Te1 Te 0.0000 0.5000 0.2500 1
P1 P 0.0000 0.0000 0.4261 1
```

=====

No. 5
## Mn2CrGa (PBE)

Data for an optimized crystal structure of Mn2CrGa.

Its volume is 102 Å³/cell. The formation energy comes out at -0.004 eV per atom. Its density of states at the Fermi level is 0.873 states/eV per atom. The electronic total energy is -7.751 eV per atom.

Cell and atoms, written as CIF:
```
data_Mn2CrGa
_chemical_formula_sum 'Mn4 Cr2 Ga2'
_symmetry_space_group_name_H-M 'C m m m'
_symmetry_Int_Tables_number 65
_symmetry_space_group_name_Hall '-C 2 2'
_cell_length_a 5.3912
_cell_length_b 6.7516
_cell_length_c 2.7905
_cell_angle_alpha 90.00
_cell_angle_beta 90.00
_cell_angle_gamma 90.00
loop_
_atom_site_label
_atom_site_type_symbol
_atom_site_fract_x
_atom_site_fract_y
_atom_site_fract_z
_atom_site_occupancy
Mn1 Mn 0.2500 0.2500 0.0000 1
Cr1 Cr 0.0000 0.0000 0.5000 1
Ga1 Ga 0.0000 0.5000 0.5000 1
```

=====

No. 6
## Na3Ge5F12 (PBE)

Data for an optimized crystal structure of Na3Ge5F12.

Its volume is 2745 Å³/cell. The formation energy from raw total energies is -193.4 kJ per mole of atoms. Its density of states at the Fermi level is 0.304 states/eV per atom. The electronic total energy is -4.480 eV per atom.

Cell and atoms, written as CIF:
```
data_Na3Ge5F12
_chemical_formula_sum 'Na24 Ge40 F96'
_symmetry_space_group_name_H-M 'I a -3 d'
_symmetry_Int_Tables_number 230
_symmetry_space_group_name_Hall '-I 4bd 2c 3'
_cell_length_a 14.0024
_cell_length_b 14.0024
_cell_length_c 14.0024
_cell_angle_alpha 90.00
_cell_angle_beta 90.00
_cell_angle_gamma 90.00
loop_
_atom_site_label
_atom_site_type_symbol
_atom_site_fract_x
_atom_site_fract_y
_atom_site_fract_z
_atom_site_occupancy
Na1 Na 0.0000 0.2500 0.1250 1
Ge1 Ge 0.0000 0.0000 0.0000 1
Ge2 Ge 0.0000 0.2500 0.3750 1
F1 F 0.0124 0.0452 0.6551 1
```

=====

No. 7
## Zr2CrHOs (PBE)

Data for an optimized crystal structure of Zr2CrHOs.

Its volume is 72 Å³/cell. Its density of states at the Fermi level is 0.676 states/eV per atom. The electronic total energy is -8.502 eV per atom.

Cell and atoms, written as CIF:
```
data_Zr2CrHOs
_chemical_formula_sum 'Zr2 Cr1 H1 Os1'
_symmetry_space_group_name_H-M 'P 4/m m m'
_symmetry_Int_Tables_number 123
_symmetry_space_group_name_Hall '-P 4 2'
_cell_length_a 4.6236
_cell_length_b 4.6236
_cell_length_c 3.3582
_cell_angle_alpha 90.00
_cell_angle_beta 90.00
_cell_angle_gamma 90.00
loop_
_atom_site_label
_atom_site_type_symbol
_atom_site_fract_x
_atom_site_fract_y
_atom_site_fract_z
_atom_site_occupancy
Zr1 Zr 0.0000 0.5000 0.0000 1
Cr1 Cr 0.0000 0.0000 0.5000 1
H1 H 0.0000 0.0000 0.0000 1
Os1 Os 0.5000 0.5000 0.5000 1
```

=====

No. 8
## V6HAu2N (PBE)

Data for an optimized crystal structure of V6HAu2N.

Its volume is 245 Å³/cell. Its density of states at the Fermi level is 1.210 states/eV per atom. The electronic total energy is -7.635 eV per atom.

Cell and atoms, written as CIF:
```
data_V6HAu2N
_chemical_formula_sum 'V12 H2 Au4 N2'
_symmetry_space_group_name_H-M 'I 4/m m m'
_symmetry_Int_Tables_number 139
_symmetry_space_group_name_Hall '-I 4 2'
_cell_length_a 5.5684
_cell_length_b 5.5684
_cell_length_c 7.8925
_cell_angle_alpha 90.00
_cell_angle_beta 90.00
_cell_angle_gamma 90.00
loop_
_atom_site_label
_atom_site_type_symbol
_atom_site_fract_x
_atom_site_fract_y
_atom_site_fract_z
_atom_site_occupancy
V1 V 0.0000 0.0000 0.2447 1
V2 V 0.2444 0.2444 0.0000 1
H1 H 0.0000 0.0000 0.0000 1
Au1 Au 0.0000 0.5000 0.2500 1
N1 N 0.0000 0.0000 0.5000 1
```

=====

> Look up the electronic total energy of the sixth one.

-4.480 eV per atom